1.
The following is a PBE calculation of an optimized crystal structure of PmHgP2O6, from the Alexandria database.

Calculated values
M_tot = 1.01 μB per formula unit
crystal system = monoclinic
calculated volume = 341.5 Å³/cell
space-group type = C2/c
total DFT energy (no corrections) = -133.731 eV per cell

The structure in POSCAR format:
```
PmHgP2O6
1.0
6.8385 0.2847 -0.3884
-0.5546 6.8219 -0.3884
-2.2272 -2.5188 7.5707
O P Pm Hg
12 4 2 2
Cartesian
5.2563 2.8480 1.4441
3.3029 2.2061 3.8603
1.0222 -0.3372 4.2553
3.0344 4.9250 2.5386
1.1580 -0.2198 6.7190
2.9872 0.2818 1.5645
2.8987 4.8076 0.0749
3.4029 2.3551 6.3239
-1.1996 1.7398 5.3498
0.6538 2.2327 0.4699
1.0694 4.3060 5.2294
0.7537 2.3817 2.9336
0.9126 -1.1788 5.5310
4.2247 2.5670 5.0482
-0.1680 2.0208 1.7457
3.1441 5.7666 1.2628
2.8814 2.6616 1.5043
1.1752 1.9262 5.2896
6.0835 -0.1698 1.5043
-2.0269 4.7576 5.2896
```

2.
The following is a PBE calculation of an optimized crystal structure of InNi4Cl, from the Alexandria database.

Calculated values
M_tot = 0.02 μB per formula unit
crystal system = cubic
calculated volume = 85.4 Å³/cell
space-group type = F-43m
total DFT energy (no corrections) = -25.590 eV per cell

The structure in POSCAR format:
```
InNi4Cl
1.0
-2.0467 3.2748 3.0848
0.2482 4.8327 -1.0062
-4.0717 2.4557 -1.3489
Ni Cl In
4 1 1
Cartesian
-2.1960 3.9517 0.2730
-4.2467 5.1884 -0.4063
-2.0710 6.3856 -0.2337
-3.2268 5.6010 1.8266
-4.4027 7.9225 0.5473
0.0000 0.0000 0.0000
```

3.
The following is a PBE calculation of an optimized crystal structure of Ca2AcOsO8, from the Alexandria database.

Calculated values
M_tot = 0.21 μB per formula unit
crystal system = monoclinic
calculated volume = 184.5 Å³/cell
space-group type = P2/m
total DFT energy (no corrections) = -83.575 eV per cell

The structure in POSCAR format:
```
Ca2AcOsO8
1.0
-4.9525 0.9785 -0.4298
-0.5518 -1.4617 4.8241
1.1448 6.7507 2.1764
O Ca Ac Os
8 2 1 1
Cartesian
-1.1161 0.2579 4.2996
-2.9086 6.3927 5.4190
-3.2435 6.0096 2.2712
-1.4509 -0.1252 1.1517
-3.1579 3.0462 4.0714
-3.9527 1.8276 0.9229
-1.2017 3.2212 2.4994
-0.4069 4.4398 5.6478
-1.8752 4.9299 3.8644
-2.4844 1.3375 2.7063
0.5724 3.3754 1.0882
0.0000 0.0000 0.0000
```

no.,formation energy from raw total energies (kJ per mole of atoms)
1,-205.0
2,34.1
3,-197.5